A relaxed RbFeBiS3 crystal, computed with PBE.

```
RbFeBiS3
1.0
2.027 -7.330 0.000
2.027 7.330 0.000
0.000 0.000 11.050
Rb Fe Bi S
2 2 2 6
direct
0.238 0.762 0.750
0.762 0.238 0.250
0.039 0.961 0.250
0.961 0.039 0.750
0.500 0.500 0.000
0.500 0.500 0.500
0.123 0.877 0.074
0.123 0.877 0.426
0.451 0.549 0.250
0.549 0.451 0.750
0.877 0.123 0.574
0.877 0.123 0.926
```

E_tot (eV per atom): -4.85

A relaxed Er2TmIn3 crystal, computed with PBE.

```
Er2TmIn3
1.0
3.478 0.000 0.000
0.000 3.478 0.000
0.000 0.000 12.728
Er Tm In
2 1 3
direct
0.000 0.000 0.167
0.000 0.000 0.833
0.000 0.000 0.500
0.500 0.500 0.000
0.500 0.500 0.334
0.500 0.500 0.666
```

E_tot (eV per atom): -4.07

A relaxed NdHoPO crystal, computed with PBE.

```
NdHoPO
1.0
4.373 0.000 0.000
0.000 4.373 0.000
0.000 0.000 8.805
Nd Ho P O
2 2 2 2
direct
0.250 0.250 0.113
0.750 0.750 0.887
0.250 0.750 0.500
0.750 0.250 0.500
0.250 0.250 0.687
0.750 0.750 0.313
0.250 0.750 0.000
0.750 0.250 0.000
```

Energy relative to the lowest polymorph listed for this composition (eV/atom): 0.079

A relaxed Sm2Sc2CI2Br3 crystal, computed with PBE.

```
Sm2Sc2CI2Br3
1.0
9.617 -1.912 0.000
9.617 1.912 0.000
-1.705 0.000 7.902
Sm Sc C I Br
2 2 1 2 3
direct
0.128 0.128 0.058
0.872 0.872 0.942
0.499 0.499 0.812
0.501 0.501 0.188
0.000 0.000 0.000
0.343 0.343 0.640
0.657 0.657 0.360
0.000 0.000 0.500
0.353 0.353 0.198
0.647 0.647 0.802
```

Energy relative to the lowest polymorph listed for this composition (eV/atom): 0.078

A relaxed PrTmNp crystal, computed with PBE.

```
PrTmNp
1.0
0.000 3.701 3.701
3.701 0.000 3.701
3.701 3.701 0.000
Pr Tm Np
1 1 1
direct
0.000 0.000 0.000
0.250 0.250 0.250
0.750 0.750 0.750
```

Energy relative to the lowest polymorph listed for this composition (eV/atom): 0.000
E_form (meV per atom): 1135

A relaxed YZrPO crystal, computed with PBE.

```
YZrPO
1.0
4.085 0.000 0.000
0.000 4.085 0.000
0.000 0.000 8.168
Y Zr P O
2 2 2 2
direct
0.250 0.750 0.000
0.750 0.250 0.000
0.250 0.250 0.381
0.750 0.750 0.619
0.250 0.250 0.770
0.750 0.750 0.230
0.250 0.750 0.500
0.750 0.250 0.500
```

Energy relative to the lowest polymorph listed for this composition (eV/atom): 0.521

A relaxed BaAgTeO crystal, computed with PBE.

```
BaAgTeO
1.0
7.652 0.000 0.000
0.000 8.404 0.000
0.000 0.000 6.559
Ba Ag Te O
4 4 4 4
direct
0.069 0.142 0.000
0.431 0.142 0.500
0.569 0.858 0.000
0.931 0.858 0.500
0.007 0.319 0.517
0.493 0.319 0.017
0.507 0.681 0.517
0.993 0.681 0.017
0.243 0.535 0.295
0.257 0.535 0.795
0.743 0.465 0.295
0.757 0.465 0.795
0.116 0.092 0.615
0.384 0.092 0.115
0.616 0.908 0.615
0.884 0.908 0.115
```

E_tot (eV per atom): -4.44

A relaxed NdZr2ScSb2 crystal, computed with PBE.

```
NdZr2ScSb2
1.0
-2.134 2.134 8.296
2.134 -2.134 8.296
2.134 2.134 -8.296
Nd Zr Sc Sb
1 2 1 2
direct
0.000 0.000 0.000
0.182 0.682 0.500
0.682 0.182 0.500
0.351 0.351 0.000
0.547 0.547 0.000
0.813 0.813 0.000
```

E_tot (eV per atom): -6.82